# La2TaPt

Crystalline La2TaPt at its relaxed geometry (PBE, Alexandria via LeMat-Bulk).

abc: 5.2362 5.2362 5.2362
angles: 60.00 60.00 60.00
With the nearest neighbours (Å) after each atom.
Fractional positions:
La 0.2500 0.2500 0.2500  4 Ta 3.21, 4 Pt 3.21
La 0.7500 0.7500 0.7500  4 Ta 3.21, 4 Pt 3.21
Ta 0.0000 0.0000 0.0000  8 La 3.21
Pt 0.5000 0.5000 0.5000  8 La 3.21

Calculated volume (Å³/cell): 101.51
SG: No. 225
Formation enthalpy at 0 K (meV per atom): 59